Entry 1:
Below is an optimized crystal structure of AcY2Ru, with properties calculated at the PBE level.

POSCAR file:
```
AcY2Ru
1.0
4.006 0.000 0.000
0.000 9.380 0.000
-1.999 0.000 6.325
Ac Y Ru
2 4 2
Cartesian
-0.001 2.345 0.932
2.009 7.035 5.393
0.003 0.675 4.417
0.003 4.016 4.417
2.004 5.365 1.907
2.004 8.706 1.907
0.003 7.035 3.204
2.004 2.345 3.121
```

Output
DOS(E_F): 4.04 states/eV/f.u.
magnetic moment: 0.00 μB per cell
E_form: -0.2213 eV/atom
E_tot: -6.80 eV/atom
energy above the lowest structure with this stoichiometry: 0.00 eV per formula unit

Entry 2:
Below is an optimized crystal structure of AcY2Ru, with properties calculated at the PBE level.

POSCAR file:
```
AcY2Ru
1.0
3.529 0.000 0.000
0.000 3.529 0.000
0.000 0.000 9.341
Ac Y Ru
1 2 1
Cartesian
0.000 0.000 0.000
1.764 1.764 3.052
1.764 1.764 6.289
0.000 0.000 4.671
```

Output
DOS(E_F): 2.95 states/eV/f.u.
magnetic moment: 0.00 μB per cell
E_form: -0.1687 eV/atom
E_tot: -6.75 eV/atom
energy above the lowest structure with this stoichiometry: 0.21 eV per formula unit

Entry 3:
Below is an optimized crystal structure of AcYRu2, with properties calculated at the PBE level.

POSCAR file:
```
AcYRu2
1.0
3.550 0.000 0.000
0.000 3.550 0.000
0.000 0.000 7.049
Ac Y Ru
1 1 2
Cartesian
0.000 0.000 0.000
0.000 0.000 3.525
1.775 1.775 1.838
1.775 1.775 5.211
```

Output
DOS(E_F): 4.42 states/eV/f.u.
magnetic moment: 0.00 μB per cell
E_form: -0.0475 eV/atom
E_tot: -7.33 eV/atom
energy above the lowest structure with this stoichiometry: 0.09 eV per formula unit

Entry 4:
Below is an optimized crystal structure of AcY2Ru, with properties calculated at the PBE level.

POSCAR file:
```
AcY2Ru
1.0
1.984 1.145 9.469
-1.984 1.145 9.469
0.000 -2.291 9.469
Ac Y Ru
1 2 1
Cartesian
0.000 0.000 0.000
0.000 0.000 6.248
0.000 0.000 22.159
0.000 0.000 14.204
```

Output
DOS(E_F): 2.64 states/eV/f.u.
magnetic moment: 0.00 μB per cell
E_form: -0.0497 eV/atom
E_tot: -6.63 eV/atom
energy above the lowest structure with this stoichiometry: 0.69 eV per formula unit

Entry 5:
Below is an optimized crystal structure of Ac2Y3Ru2, with properties calculated at the PBE level.

POSCAR file:
```
Ac2Y3Ru2
1.0
6.290 -1.994 0.000
6.290 1.994 0.000
-4.186 0.000 8.194
Ac Y Ru
2 3 2
Cartesian
0.844 0.000 2.395
7.550 0.000 5.799
4.377 0.000 0.651
4.197 0.000 4.097
4.017 0.000 7.544
-0.903 0.000 6.048
9.297 0.000 2.147
```

Output
DOS(E_F): 4.59 states/eV/f.u.
magnetic moment: 0.00 μB per cell
E_form: -0.2401 eV/atom
E_tot: -6.83 eV/atom

Entry 6:
Below is an optimized crystal structure of Ac2YRu, with properties calculated at the PBE level.

POSCAR file:
```
Ac2YRu
1.0
2.567 1.482 5.352
-2.567 1.482 5.352
0.000 -2.964 5.352
Ac Y Ru
2 1 1
Cartesian
0.000 0.000 3.761
0.000 0.000 12.295
0.000 0.000 0.000
0.000 0.000 8.028
```

Output
DOS(E_F): 3.88 states/eV/f.u.
magnetic moment: 0.00 μB per cell
E_form: 0.2957 eV/atom
E_tot: -5.69 eV/atom